[1]
# La3MgHg

Crystalline La3MgHg at its relaxed geometry (PBE, the Alexandria database).

Cell: 10.662 10.662 5.545 Å, 90.00 90.00 149.80°
Element x y z (fractional)
La 0.059 0.941 0.750
La 0.250 0.750 0.750
La 0.438 0.562 0.750
La 0.562 0.438 0.250
La 0.750 0.250 0.250
La 0.941 0.059 0.250
Mg 0.152 0.848 0.250
Mg 0.848 0.152 0.750
Hg 0.347 0.653 0.250
Hg 0.653 0.347 0.750

Computed properties:
* E: -35.58 eV per cell
* ΔE to the lowest computed polymorph: 0.0 kJ/mol of atoms
* magnetic moment: 0.054 μB/atom
* ΔE_f: -0.222 eV per atom

[2]
# Tb3Pm2Rh2

Crystalline Tb3Pm2Rh2 at its relaxed geometry (PBE, the Alexandria database).

Cell: 6.413 6.413 9.060 Å, 115.07 115.07 34.48°
Element x y z (fractional)
Tb 0.000 0.000 0.000
Tb 0.117 0.117 0.430
Tb 0.883 0.883 0.570
Pm 0.335 0.335 0.192
Pm 0.665 0.665 0.808
Rh 0.326 0.326 0.757
Rh 0.674 0.674 0.243

Computed properties:
* E: -41.90 eV per cell
* magnetic moment: 0.000 μB/atom
* ΔE_f: -0.543 eV per atom

[3]
# SmTmLuSn

Crystalline SmTmLuSn at its relaxed geometry (PBE, the Alexandria database).

Cell: 5.384 5.384 5.384 Å, 60.00 60.00 60.00°
Element x y z (fractional)
Sm 0.000 0.000 0.000
Tm 0.500 0.500 0.500
Lu 0.250 0.250 0.250
Sn 0.750 0.750 0.750

Computed properties:
* E: -18.62 eV per cell
* magnetic moment: 0.001 μB/atom
* ΔE_f: -0.226 eV per atom

[4]
# TaTcSN2

Crystalline TaTcSN2 at its relaxed geometry (PBE, the Alexandria database).

Cell: 3.815 3.815 4.826 Å, 90.00 90.00 90.00°
Element x y z (fractional)
Ta 0.000 0.000 0.000
Tc 0.500 0.500 0.500
S 0.500 0.500 0.000
N 0.000 0.500 0.500
N 0.500 0.000 0.500

Computed properties:
* E: -38.85 eV per cell
* ΔE to the lowest computed polymorph: 24.7 kJ/mol of atoms
* magnetic moment: 0.210 μB/atom
* energy relative to the elements, uncorrected: 0.8301 eV/atom

[5]
# YMnNi2

Crystalline YMnNi2 at its relaxed geometry (PBE, the Alexandria database).

Cell: 5.172 5.172 5.172 Å, 46.65 46.65 46.65°
Element x y z (fractional)
Y 0.000 0.000 0.000
Mn 0.500 0.500 0.500
Ni 0.201 0.201 0.201
Ni 0.799 0.799 0.799

Computed properties:
* E: -28.12 eV per cell
* ΔE to the lowest computed polymorph: 0.0 kJ/mol of atoms
* magnetic moment: 0.780 μB/atom
* ΔE_f: -0.231 eV per atom

[6]
# ThMgB

Crystalline ThMgB at its relaxed geometry (PBE, the Alexandria database).

Cell: 5.047 5.047 7.502 Å, 100.03 100.03 44.01°
Element x y z (fractional)
Th 0.121 0.121 0.333
Th 0.879 0.879 0.667
Mg 0.370 0.370 0.083
Mg 0.630 0.630 0.917
B 0.422 0.422 0.426
B 0.578 0.578 0.574

Computed properties:
* E: -31.62 eV per cell
* ΔE to the lowest computed polymorph: 20.1 kJ/mol of atoms
* magnetic moment: 0.000 μB/atom
* ΔE_f: -0.040 eV per atom